No. 1
# CaZnP2, relaxed, DFT GGA-PBE
# Total moment in μB/atom: 0.00
# Calculated formation energy in meV/atom: -276.7
data_CaZnP2
_cell_length_a 3.3755
_cell_length_b 4.8482
_cell_length_c 9.3789
_cell_angle_alpha 90.00
_cell_angle_beta 90.00
_cell_angle_gamma 90.00
_symmetry_space_group_name_H-M 'I m m 2'
_symmetry_Int_Tables_number 44
_symmetry_space_group_name_Hall 'I 2 -2'
loop_
_atom_site_label
_atom_site_type_symbol
_atom_site_fract_x
_atom_site_fract_y
_atom_site_fract_z
Ca1 Ca 0.0000 0.0000 0.0000
Zn1 Zn 0.0000 0.5000 0.2081
P1 P 0.0000 0.0000 0.4537
P2 P 0.0000 0.5000 0.7851

=====

No. 2
# Ba3MgTi, relaxed, DFT GGA-PBE
# Total moment in μB/atom: 0.26
# Energy above the most stable polymorph in this dataset in eV/atom: 0.000
# Calculated formation energy in meV/atom: 634.7
data_Ba3MgTi
_cell_length_a 6.2182
_cell_length_b 6.2182
_cell_length_c 6.2182
_cell_angle_alpha 90.00
_cell_angle_beta 90.00
_cell_angle_gamma 90.00
_symmetry_space_group_name_H-M 'P m -3 m'
_symmetry_Int_Tables_number 221
_symmetry_space_group_name_Hall '-P 4 2 3'
loop_
_atom_site_label
_atom_site_type_symbol
_atom_site_fract_x
_atom_site_fract_y
_atom_site_fract_z
Ba1 Ba 0.0000 0.0000 0.5000
Mg1 Mg 0.5000 0.5000 0.5000
Ti1 Ti 0.0000 0.0000 0.0000

=====

No. 3
# AlNi2AgTe, relaxed, DFT GGA-PBE
# Total moment in μB/atom: 0.11
# Formation energy (no corrections) in meV per atom: 1110
data_AlNi2AgTe
_cell_length_a 4.7578
_cell_length_b 4.7578
_cell_length_c 5.1560
_cell_angle_alpha 90.00
_cell_angle_beta 90.00
_cell_angle_gamma 90.00
_symmetry_space_group_name_H-M 'P 4/m m m'
_symmetry_Int_Tables_number 123
_symmetry_space_group_name_Hall '-P 4 2'
loop_
_atom_site_label
_atom_site_type_symbol
_atom_site_fract_x
_atom_site_fract_y
_atom_site_fract_z
Al1 Al 0.0000 0.0000 0.0000
Ni1 Ni 0.0000 0.5000 0.5000
Ag1 Ag 0.5000 0.5000 0.5000
Te1 Te 0.5000 0.5000 0.0000

=====

No. 4
# BaNa2Ag2Hg2, relaxed, DFT GGA-PBE
# Total moment in μB/atom: 0.00
# Calculated formation energy in meV/atom: -226.7
data_BaNa2Ag2Hg2
_cell_length_a 4.9922
_cell_length_b 4.9922
_cell_length_c 27.8014
_cell_angle_alpha 90.00
_cell_angle_beta 90.00
_cell_angle_gamma 120.00
_symmetry_space_group_name_H-M 'R -3 m'
_symmetry_Int_Tables_number 166
_symmetry_space_group_name_Hall '-R 3 2"'
loop_
_atom_site_label
_atom_site_type_symbol
_atom_site_fract_x
_atom_site_fract_y
_atom_site_fract_z
Ba1 Ba 0.0000 0.0000 0.0000
Na1 Na 0.0000 0.0000 0.1362
Ag1 Ag 0.0000 0.0000 0.4182
Hg1 Hg 0.0000 0.0000 0.2536

=====

No. 5
# Na2TlPtPb, relaxed, DFT GGA-PBE
# Total moment in μB/atom: 0.00
# Calculated formation energy in meV/atom: -44.6
data_Na2TlPtPb
_cell_length_a 5.4979
_cell_length_b 5.4979
_cell_length_c 5.1931
_cell_angle_alpha 90.00
_cell_angle_beta 90.00
_cell_angle_gamma 90.00
_symmetry_space_group_name_H-M 'P 4/m m m'
_symmetry_Int_Tables_number 123
_symmetry_space_group_name_Hall '-P 4 2'
loop_
_atom_site_label
_atom_site_type_symbol
_atom_site_fract_x
_atom_site_fract_y
_atom_site_fract_z
Na1 Na 0.0000 0.5000 0.0000
Tl1 Tl 0.0000 0.0000 0.5000
Pt1 Pt 0.5000 0.5000 0.0000
Pb1 Pb 0.5000 0.5000 0.5000

=====

No. 6
# UAlSb, relaxed, DFT GGA-PBE
# Total moment in μB/atom: 1.17
# Formation energy (no corrections) in meV per atom: 49
data_UAlSb
_cell_length_a 3.6178
_cell_length_b 3.6178
_cell_length_c 10.6404
_cell_angle_alpha 90.00
_cell_angle_beta 90.00
_cell_angle_gamma 90.00
_symmetry_space_group_name_H-M 'I 4 m m'
_symmetry_Int_Tables_number 107
_symmetry_space_group_name_Hall 'I 4 -2'
loop_
_atom_site_label
_atom_site_type_symbol
_atom_site_fract_x
_atom_site_fract_y
_atom_site_fract_z
U1 U 0.0000 0.0000 0.0000
Al1 Al 0.0000 0.0000 0.3153
Sb1 Sb 0.0000 0.0000 0.6893

=====

No. 7
# Ce2P2I, relaxed, DFT GGA-PBE
# Total moment in μB/atom: 0.21
# Energy above the most stable polymorph in this dataset in eV/atom: 0.055
# Formation energy (no corrections) in meV per atom: -1067
data_Ce2P2I
_cell_length_a 7.2543
_cell_length_b 7.2612
_cell_length_c 9.0522
_cell_angle_alpha 90.00
_cell_angle_beta 112.34
_cell_angle_gamma 90.00
_symmetry_space_group_name_H-M 'C 1 2/m 1'
_symmetry_Int_Tables_number 12
_symmetry_space_group_name_Hall '-C 2y'
loop_
_atom_site_label
_atom_site_type_symbol
_atom_site_fract_x
_atom_site_fract_y
_atom_site_fract_z
Ce1 Ce 0.1912 0.0000 0.3763
P1 P 0.0000 0.2500 0.5000
I1 I 0.0000 0.0000 0.0000

=====

No. 8
# NdHg2Pb, relaxed, DFT GGA-PBE
# Total moment in μB/atom: 0.00
# Calculated formation energy in meV/atom: -400.4
data_NdHg2Pb
_cell_length_a 4.6742
_cell_length_b 4.6742
_cell_length_c 4.9047
_cell_angle_alpha 90.00
_cell_angle_beta 90.00
_cell_angle_gamma 90.00
_symmetry_space_group_name_H-M 'P 4/m m m'
_symmetry_Int_Tables_number 123
_symmetry_space_group_name_Hall '-P 4 2'
loop_
_atom_site_label
_atom_site_type_symbol
_atom_site_fract_x
_atom_site_fract_y
_atom_site_fract_z
Nd1 Nd 0.0000 0.0000 0.0000
Hg1 Hg 0.0000 0.5000 0.5000
Pb1 Pb 0.5000 0.5000 0.0000

=====

No. 9
# LaPm12Nd6, relaxed, DFT GGA-PBE
# Total moment in μB/atom: 0.00
# Energy above the most stable polymorph in this dataset in eV/atom: 0.000
# Calculated formation energy in meV/atom: 13.6
data_LaPm12Nd6
_cell_length_a 15.9906
_cell_length_b 15.9906
_cell_length_c 8.9975
_cell_angle_alpha 90.00
_cell_angle_beta 90.00
_cell_angle_gamma 120.00
_symmetry_space_group_name_H-M 'R -3'
_symmetry_Int_Tables_number 148
_symmetry_space_group_name_Hall '-R 3'
loop_
_atom_site_label
_atom_site_type_symbol
_atom_site_fract_x
_atom_site_fract_y
_atom_site_fract_z
La1 La 0.0000 0.0000 0.0000
Pm1 Pm 0.0176 0.1407 0.6662
Pm2 Pm 0.0698 0.5613 0.6667
Nd1 Nd 0.0350 0.2801 0.3337

=====

No. 10
# PmSm3Y3Te8, relaxed, DFT GGA-PBE
# Total moment in μB/atom: 0.00
# Formation energy (no corrections) in meV per atom: -1417
data_PmSm3Y3Te8
_cell_length_a 8.7797
_cell_length_b 8.7797
_cell_length_c 21.5165
_cell_angle_alpha 90.00
_cell_angle_beta 90.00
_cell_angle_gamma 120.00
_symmetry_space_group_name_H-M 'R -3 m'
_symmetry_Int_Tables_number 166
_symmetry_space_group_name_Hall '-R 3 2"'
loop_
_atom_site_label
_atom_site_type_symbol
_atom_site_fract_x
_atom_site_fract_y
_atom_site_fract_z
Pm1 Pm 0.0000 0.0000 0.0000
Sm1 Sm 0.0000 0.5000 0.5000
Y1 Y 0.0000 0.5000 0.0000
Te1 Te 0.0000 0.0000 0.2522
Te2 Te 0.0138 0.5069 0.2487

=====

No. 11
# Li3Gd12H5, relaxed, DFT GGA-PBE
# Total moment in μB/atom: 4.41
data_Li3Gd12H5
_cell_length_a 15.5313
_cell_length_b 15.5313
_cell_length_c 15.5313
_cell_angle_alpha 90.00
_cell_angle_beta 90.00
_cell_angle_gamma 90.00
_symmetry_space_group_name_H-M 'I a -3 d'
_symmetry_Int_Tables_number 230
_symmetry_space_group_name_Hall '-I 4bd 2c 3'
loop_
_atom_site_label
_atom_site_type_symbol
_atom_site_fract_x
_atom_site_fract_y
_atom_site_fract_z
Li1 Li 0.0000 0.2500 0.1250
Gd1 Gd 0.0425 0.0549 0.6498
H1 H 0.0000 0.0000 0.0000
H2 H 0.0000 0.2500 0.3750

=====

No. 12
# Pr3Zn2Rh, relaxed, DFT GGA-PBE
# Total moment in μB/atom: 0.00
# Calculated formation energy in meV/atom: -415.5
data_Pr3Zn2Rh
_cell_length_a 12.5130
_cell_length_b 4.5847
_cell_length_c 10.8301
_cell_angle_alpha 90.00
_cell_angle_beta 90.00
_cell_angle_gamma 90.00
_symmetry_space_group_name_H-M 'P n m a'
_symmetry_Int_Tables_number 62
_symmetry_space_group_name_Hall '-P 2ac 2n'
loop_
_atom_site_label
_atom_site_type_symbol
_atom_site_fract_x
_atom_site_fract_y
_atom_site_fract_z
Pr1 Pr 0.0563 0.2500 0.1114
Pr2 Pr 0.1097 0.7500 0.5599
Pr3 Pr 0.2362 0.2500 0.7879
Zn1 Zn 0.0112 0.7500 0.2944
Zn2 Zn 0.2039 0.7500 0.9927
Rh1 Rh 0.1163 0.2500 0.3655

=====

DFT total energy: -3.8005, -2.4169, -3.1498, -1.7792, -2.9953, -6.3349, -5.9147, -2.6704, -4.7518, -5.6458, -9.6784, -4.4551 (eV/atom)